# 1
16
Lattice="7.5733 0.0000 0.0000 0.0000 7.5733 0.0000 0.0000 0.0000 7.5733" Properties=species:S:1:pos:R:3 comment="NaLaTlGa | the Alexandria database | PBE-GGA | relaxed" final_energy_ev_per_atom=-3.20 e_form_ev_per_atom=-0.29 magmom_total_mub_per_fu=0.00 spacegroup="F-43m (216)" crystal_system=cubic pbc="T T T"
Na 0.0000 0.0000 0.0000
Na 0.0000 3.7866 3.7866
Na 3.7866 0.0000 3.7866
Na 3.7866 3.7866 0.0000
La 0.0000 0.0000 3.7866
La 0.0000 3.7866 0.0000
La 3.7866 0.0000 0.0000
La 3.7866 3.7866 3.7866
Tl 1.8933 1.8933 1.8933
Tl 1.8933 5.6799 5.6799
Tl 5.6799 1.8933 5.6799
Tl 5.6799 5.6799 1.8933
Ga 1.8933 1.8933 5.6799
Ga 1.8933 5.6799 1.8933
Ga 5.6799 1.8933 1.8933
Ga 5.6799 5.6799 5.6799

# 2
19
Lattice="7.2010 -3.9925 0.0000 7.2010 3.9925 0.0000 -3.3335 0.0000 8.8804" Properties=species:S:1:pos:R:3 comment="Tb2Ce5S12 | the Alexandria database | PBE-GGA | relaxed" final_energy_ev_per_atom=-6.50 magmom_total_mub_per_fu=2.21 spacegroup="C2/m (12)" crystal_system=monoclinic pbc="T T T"
Tb 7.2010 2.0340 0.0000
Tb 7.2010 -2.0340 0.0000
Ce -1.6667 0.0000 4.4402
Ce 3.7151 0.0000 0.4542
Ce 2.3156 0.0000 5.4473
Ce 8.7529 0.0000 3.4331
Ce 7.3535 0.0000 8.4261
S -1.8924 0.0000 7.5285
S 1.5153 1.7617 7.5523
S 3.5637 2.2161 4.3857
S 7.5048 2.2161 4.4947
S 9.5532 1.7617 1.3281
S 6.2883 0.0000 1.6478
S 4.7803 0.0000 7.2326
S 1.5153 -1.7617 7.5523
S 3.5637 -2.2161 4.3857
S 7.5048 -2.2161 4.4947
S 9.5532 -1.7617 1.3281
S 12.9609 0.0000 1.3519

# 3
12
Lattice="3.4636 0.0000 0.0000 -1.7318 2.9996 0.0000 0.0000 0.0000 36.9001" Properties=species:S:1:pos:R:3 comment="AcCe2Cd | the Alexandria database | PBE-GGA | relaxed" polymorph_energy_ev_per_fu=0.87 final_energy_ev_per_atom=-3.97 e_form_ev_per_atom=0.25 magmom_total_mub_per_fu=1.93 spacegroup="R-3m (166)" crystal_system=trigonal pbc="T T T"
Ac 0.0000 0.0000 0.0000
Ac 0.0000 1.9997 24.6001
Ac 1.7318 0.9999 12.3000
Ce 0.0000 0.0000 3.4665
Ce 0.0000 0.0000 33.4336
Ce 0.0000 1.9997 21.1336
Ce 0.0000 1.9997 28.0666
Ce 1.7318 0.9999 8.8336
Ce 1.7318 0.9999 15.7665
Cd 0.0000 0.0000 18.4501
Cd 0.0000 1.9997 6.1500
Cd 1.7318 0.9999 30.7501